The following is a GGA+U calculation of an optimized crystal structure of CeNiIrO6, from Alexandria via LeMat-Bulk.

It has space group P4_2nm (No. 102), with a = 4.931 Å, b = 4.931 Å, c = 9.559 Å, α = 90.00°, β = 90.00° and γ = 90.00°. The asymmetric unit holds Ce at (0.000, 0.000, 0.000), Ni at (0.000, 0.000, 0.667), Ir at (0.000, 0.000, 0.337), O at (0.179, 0.179, 0.497), O at (0.191, 0.191, 0.191) and O at (0.218, 0.218, 0.830).

The value obtained for the total energy is -120.51 eV/cell.